YHoTe2: optimized geometry, GGA-PBE.

Cell and atoms, written as POSCAR:
```
YHoTe2
1.0
4.245 0.000 0.000
-2.123 3.676 0.000
0.000 0.000 7.538
Y Ho Te
1 1 2
Cartesian
0.000 0.000 0.000
0.000 0.000 3.769
0.000 2.451 1.904
2.123 1.225 5.634
```

## Properties
The value obtained for the total DFT energy (no corrections) is -5.63 eV/atom. As for the symmetry: No. 164. The value obtained for the distance to the lowest polymorph of the same formula is 0.0 kJ per mole of atoms.

***

Zr5Sn3: optimized geometry, GGA-PBE.

Cell and atoms, written as POSCAR:
```
Zr5Sn3
1.0
8.525 0.000 0.000
-4.263 7.383 0.000
0.000 0.000 5.814
Zr Sn
10 6
Cartesian
-1.051 1.820 1.453
-3.212 5.563 4.360
2.102 0.000 1.453
1.051 1.820 4.360
0.000 4.922 0.000
0.000 4.922 2.907
4.263 2.461 0.000
4.263 2.461 2.907
6.424 0.000 4.360
3.212 5.563 1.453
-1.672 2.896 4.360
-2.591 4.487 1.453
3.344 0.000 4.360
1.672 2.896 1.453
5.182 0.000 1.453
2.591 4.487 4.360
```

## Properties
The value obtained for the total DFT energy (no corrections) is -7.41 eV/atom. As for the symmetry: No. 193.

***

LuAlIr: optimized geometry, GGA-PBE.

Cell and atoms, written as POSCAR:
```
LuAlIr
1.0
4.432 0.000 0.000
-2.216 3.838 0.000
0.000 0.000 6.548
Lu Al Ir
2 2 2
Cartesian
0.000 0.000 0.000
0.000 0.000 3.274
0.000 2.559 1.637
2.216 1.279 4.911
0.000 2.559 4.911
2.216 1.279 1.637
```

## Properties
The value obtained for the total DFT energy (no corrections) is -6.56 eV/atom. As for the symmetry: No. 194.

***

Gd2TmIn3Ag2Pt: optimized geometry, GGA-PBE.

Cell and atoms, written as POSCAR:
```
Gd2TmIn3Ag2Pt
1.0
3.995 0.000 0.000
0.000 6.696 3.875
0.000 -6.696 3.875
Gd Tm In Ag Pt
2 1 3 2 1
Cartesian
0.000 -4.033 3.875
0.000 4.033 3.875
0.000 0.000 3.153
1.997 0.000 0.443
1.997 -1.727 5.206
1.997 1.727 5.206
1.997 -2.197 2.338
1.997 2.197 2.338
0.000 0.000 6.171
```

## Properties
The value obtained for the total DFT energy (no corrections) is -4.34 eV/atom. As for the symmetry: No. 38.

***

| no. | size of the total moment (μB per formula unit) |
| --- | --- |
| 1 | 0.01 |
| 2 | 0.01 |
| 3 | 0.00 |
| 4 | 0.01 |